A relaxed Co2AsRh crystal. Source: the Alexandria database, functional PBEsol.

Cell and atoms, written as POSCAR:
```
Co2AsRh
1.0
-1.398 1.191 -3.669
-3.657 -1.306 -1.324
-3.148 2.619 -0.244
Co As Rh
2 1 1
direct
0.000 0.000 0.000 Co
0.750 0.750 0.750 Co
0.500 0.500 0.500 As
0.250 0.250 0.250 Rh
```

Values from the calculation:
theoretical density = 10.055 Mg/m³
total magnetization = 3.2 μB per formula unit
formation enthalpy at 0 K = 49 meV/atom